[1]
Here is an optimized crystal structure of Sr2ZnS3 from Alexandria via LeMat-Bulk. Energies are from PBEsol.

Cell: 8.3807 4.0307 16.2251 Å, 90.00 90.00 90.00°
With the nearest neighbours (Å) after each atom.
Element x y z (fractional)
Sr 0.0794 0.2500 0.2146  7 S 2.99-3.09
Sr 0.2427 0.2500 0.9583  7 S 2.91-3.17
Sr 0.2573 0.7500 0.4583  7 S 2.91-3.17
Sr 0.4206 0.7500 0.7146  7 S 2.99-3.09
Sr 0.5794 0.2500 0.2854  7 S 2.99-3.09
Sr 0.7427 0.2500 0.5417  7 S 2.91-3.17
Sr 0.7573 0.7500 0.0417  7 S 2.91-3.17
Sr 0.9206 0.7500 0.7854  7 S 2.99-3.09
Zn 0.1282 0.2500 0.6339  4 S 2.31-2.38
Zn 0.3718 0.7500 0.1339  4 S 2.31-2.38
Zn 0.6282 0.2500 0.8661  4 S 2.31-2.38
Zn 0.8718 0.7500 0.3661  4 S 2.31-2.38
S 0.0067 0.2500 0.4014  2 Zn 2.38
S 0.1234 0.7500 0.0719  1 Zn 2.31
S 0.1832 0.2500 0.7748  1 Zn 2.33
S 0.3168 0.7500 0.2748  1 Zn 2.33
S 0.3766 0.2500 0.5719  1 Zn 2.31
S 0.4933 0.7500 0.9014  2 Zn 2.38
S 0.5067 0.2500 0.0986  2 Zn 2.38
S 0.6234 0.7500 0.4281  1 Zn 2.31
S 0.6832 0.2500 0.7252  1 Zn 2.33
S 0.8168 0.7500 0.2252  1 Zn 2.33
S 0.8766 0.2500 0.9281  1 Zn 2.31
S 0.9933 0.7500 0.5986  2 Zn 2.38

Calculated values
Crystal system ... orthorhombic
E_tot ... -4.771 eV/atom
Size of the total moment ... 0.0 Bohr magnetons per cell
Formation energy (no corrections) ... -1.702 eV/atom
Space group ... Pnma

=====

[2]
Here is an optimized crystal structure of TaS2 from Alexandria via LeMat-Bulk. Energies are from PBEsol.

Cell: 3.3172 3.3172 18.3853 Å, 90.00 90.00 120.00°
With the nearest neighbours (Å) after each atom.
Element x y z (fractional)
Ta 0.0000 0.0000 0.0000  6 S 2.46
Ta 0.3333 0.6667 0.6667  6 S 2.46
Ta 0.6667 0.3333 0.3333  6 S 2.46
S 0.0000 0.0000 0.2495  3 Ta 2.46
S 0.0000 0.0000 0.7505  3 Ta 2.46
S 0.3333 0.6667 0.4171  3 Ta 2.46
S 0.3333 0.6667 0.9162  3 Ta 2.46
S 0.6667 0.3333 0.0838  3 Ta 2.46
S 0.6667 0.3333 0.5829  3 Ta 2.46

Calculated values
Crystal system ... trigonal
E_tot ... -8.186 eV/atom
Size of the total moment ... 0.0 Bohr magnetons per cell
Formation energy (no corrections) ... -1.079 eV/atom
Space group ... R-3m

=====

[3]
Here is an optimized crystal structure of TaS2 from Alexandria via LeMat-Bulk. Energies are from PBEsol.

Cell: 3.2918 3.2918 12.0397 Å, 90.00 90.00 120.00°
With the nearest neighbours (Å) after each atom.
Element x y z (fractional)
Ta 0.0000 0.0000 0.2500  6 S 2.46
Ta 0.0000 0.0000 0.7500  6 S 2.46
S 0.3333 0.6667 0.1204  3 Ta 2.46
S 0.3333 0.6667 0.3796  3 Ta 2.46
S 0.6667 0.3333 0.6204  3 Ta 2.46
S 0.6667 0.3333 0.8796  3 Ta 2.46

Calculated values
Crystal system ... hexagonal
E_tot ... -8.214 eV/atom
Size of the total moment ... 0.0 Bohr magnetons per cell
Formation energy (no corrections) ... -1.107 eV/atom
Space group ... P6_3/mmc

=====

[4]
Here is an optimized crystal structure of Ta2S from Alexandria via LeMat-Bulk. Energies are from PBEsol.

Cell: 7.3378 5.5512 15.1251 Å, 90.00 90.00 90.00°
With the nearest neighbours (Å) after each atom.
Element x y z (fractional)
Ta 0.0086 0.1329 0.2500  12 Ta 2.78-2.97
Ta 0.0086 0.3671 0.7500  12 Ta 2.78-2.97
Ta 0.0960 0.6051 0.5899  3 S 2.44-2.57
Ta 0.0960 0.6051 0.9101  3 S 2.44-2.57
Ta 0.0960 0.8949 0.0899  3 S 2.44-2.57
Ta 0.0960 0.8949 0.4101  3 S 2.44-2.57
Ta 0.2830 0.1047 0.6539  3 S 2.44-2.58
Ta 0.2830 0.1047 0.8461  3 S 2.44-2.58
Ta 0.2830 0.3953 0.1539  3 S 2.44-2.58
Ta 0.2830 0.3953 0.3461  3 S 2.44-2.58
Ta 0.3528 0.6269 0.7500  2 S 2.44
Ta 0.3528 0.8731 0.2500  2 S 2.44
Ta 0.6472 0.1269 0.7500  2 S 2.44
Ta 0.6472 0.3731 0.2500  2 S 2.44
Ta 0.7170 0.6047 0.6539  3 S 2.44-2.58
Ta 0.7170 0.6047 0.8461  3 S 2.44-2.58
Ta 0.7170 0.8953 0.1539  3 S 2.44-2.58
Ta 0.7170 0.8953 0.3461  3 S 2.44-2.58
Ta 0.9040 0.1051 0.5899  3 S 2.44-2.57
Ta 0.9040 0.1051 0.9101  3 S 2.44-2.57
Ta 0.9040 0.3949 0.0899  3 S 2.44-2.57
Ta 0.9040 0.3949 0.4101  3 S 2.44-2.57
Ta 0.9914 0.6329 0.2500  12 Ta 2.78-2.97
Ta 0.9914 0.8671 0.7500  12 Ta 2.78-2.97
S 0.1800 0.2500 0.0000  6 Ta 2.47-2.58
S 0.1800 0.2500 0.5000  6 Ta 2.47-2.58
S 0.4136 0.7321 0.5965  4 Ta 2.44-2.49
S 0.4136 0.7321 0.9035  4 Ta 2.44-2.49
S 0.4136 0.7679 0.0965  4 Ta 2.44-2.49
S 0.4136 0.7679 0.4035  4 Ta 2.44-2.49
S 0.5864 0.2321 0.5965  4 Ta 2.44-2.49
S 0.5864 0.2321 0.9035  4 Ta 2.44-2.49
S 0.5864 0.2679 0.0965  4 Ta 2.44-2.49
S 0.5864 0.2679 0.4035  4 Ta 2.44-2.49
S 0.8200 0.7500 0.0000  6 Ta 2.47-2.58
S 0.8200 0.7500 0.5000  6 Ta 2.47-2.58

Calculated values
Crystal system ... orthorhombic
E_tot ... -10.502 eV/atom
Size of the total moment ... 0.0 Bohr magnetons per cell
Formation energy (no corrections) ... -0.673 eV/atom
Space group ... Pbcm

=====

[5]
Here is an optimized crystal structure of TaS2 from Alexandria via LeMat-Bulk. Energies are from PBEsol.

Cell: 3.2917 3.2917 18.3384 Å, 90.00 90.00 120.00°
With the nearest neighbours (Å) after each atom.
Element x y z (fractional)
Ta 0.0000 0.0000 0.0000  6 S 2.46
Ta 0.3333 0.6667 0.6667  6 S 2.46
Ta 0.6667 0.3333 0.3333  6 S 2.46
S 0.0000 0.0000 0.2483  3 Ta 2.46
S 0.0000 0.0000 0.4185  3 Ta 2.46
S 0.3333 0.6667 0.0852  3 Ta 2.46
S 0.3333 0.6667 0.9150  3 Ta 2.46
S 0.6667 0.3333 0.5817  3 Ta 2.46
S 0.6667 0.3333 0.7519  3 Ta 2.46

Calculated values
Crystal system ... trigonal
E_tot ... -8.212 eV/atom
Size of the total moment ... 0.0 Bohr magnetons per cell
Formation energy (no corrections) ... -1.106 eV/atom
Space group ... R3m

=====

[6]
Here is an optimized crystal structure of TaS2 from Alexandria via LeMat-Bulk. Energies are from PBEsol.

Cell: 3.2970 12.2169 5.6863 Å, 90.00 90.00 90.00°
With the nearest neighbours (Å) after each atom.
Element x y z (fractional)
Ta 0.0000 0.0000 0.0000  6 S 2.46
Ta 0.0000 0.5000 0.5000  6 S 2.46
Ta 0.5000 0.0000 0.5000  6 S 2.46
Ta 0.5000 0.5000 0.0000  6 S 2.46
S 0.0000 0.1278 0.3338  3 Ta 2.46
S 0.0000 0.3722 0.8338  3 Ta 2.46
S 0.0000 0.6278 0.8338  3 Ta 2.46
S 0.0000 0.8722 0.3338  3 Ta 2.46
S 0.5000 0.1278 0.8338  3 Ta 2.46
S 0.5000 0.3722 0.3338  3 Ta 2.46
S 0.5000 0.6278 0.3338  3 Ta 2.46
S 0.5000 0.8722 0.8338  3 Ta 2.46

Calculated values
Crystal system ... orthorhombic
E_tot ... -8.208 eV/atom
Size of the total moment ... 0.0 Bohr magnetons per cell
Formation energy (no corrections) ... -1.102 eV/atom
Space group ... Fmm2

=====

[7]
Here is an optimized crystal structure of TaS2 from Alexandria via LeMat-Bulk. Energies are from PBEsol.

Cell: 3.3157 3.3157 5.9245 Å, 90.00 90.00 120.00°
With the nearest neighbours (Å) after each atom.
Element x y z (fractional)
Ta 0.0000 0.0000 0.0000  6 S 2.46
S 0.3333 0.6667 0.2604  3 Ta 2.46
S 0.6667 0.3333 0.7396  3 Ta 2.46

Calculated values
Crystal system ... trigonal
E_tot ... -8.190 eV/atom
Size of the total moment ... 0.0 Bohr magnetons per cell
Formation energy (no corrections) ... -1.084 eV/atom
Space group ... P-3m1

=====

[8]
Here is an optimized crystal structure of TaTc3S from Alexandria via LeMat-Bulk. Energies are from PBEsol.

Cell: 4.6819 4.6819 4.6819 Å, 90.00 90.00 90.00°
With the nearest neighbours (Å) after each atom.
Element x y z (fractional)
Ta 0.0000 0.0000 0.0000  6 Tc 2.34
Tc 0.0000 0.0000 0.5000  2 Ta 2.34
Tc 0.0000 0.5000 0.0000  2 Ta 2.34
Tc 0.5000 0.0000 0.0000  2 Ta 2.34
S 0.5000 0.5000 0.5000  12 Tc 3.31

Calculated values
Crystal system ... cubic
E_tot ... -7.932 eV/atom
Size of the total moment ... 2.1 Bohr magnetons per cell
Formation energy (no corrections) ... 2.215 eV/atom
Space group ... Pm-3m